DFT (PBE) results for crystalline TlIn2Se2 at its relaxed geometry.

Results
**Fermi-level density of states**: 1.8 states/eV/f.u.
**Space group**: P4/mbm, No. 127
**Volume**: 270 Å³ per cell
**Formation energy without anion corrections**: -232 meV per atom
**Polymorph energy (0 for the lowest one)**: 0.62 eV per formula unit

a b c (Å): 8.392 8.392 3.841
angles (deg): 90.00 90.00 90.00
Sites, in units of the cell vectors:
Tl: 0.000 0.000 0.000
Tl: 0.500 0.500 0.000
In: 0.147 0.353 0.500
In: 0.353 0.853 0.500
In: 0.647 0.147 0.500
In: 0.853 0.647 0.500
Se: 0.150 0.650 0.000
Se: 0.350 0.150 0.000
Se: 0.650 0.850 0.000
Se: 0.850 0.350 0.000

DFT (PBE) results for crystalline CdHg2Sb at its relaxed geometry.

Results
**Fermi-level density of states**: 1.3 states/eV/f.u.
**Space group**: P4mm, No. 99
**Volume**: 104 Å³ per cell
**Formation energy without anion corrections**: 110 meV per atom
**Polymorph energy (0 for the lowest one)**: 0.30 eV per formula unit

a b c (Å): 3.253 3.253 9.805
angles (deg): 90.00 90.00 90.00
Sites, in units of the cell vectors:
Cd: 0.000 0.000 0.000
Hg: 0.000 0.000 0.481
Hg: 0.500 0.500 0.230
Sb: 0.500 0.500 0.761

DFT (PBE) results for crystalline LaEuGePb at its relaxed geometry.

Results
**Fermi-level density of states**: 7.1 states/eV/f.u.
**ΔE_f**: -0.51 eV/atom
**Space group**: F-43m, No. 216
**Volume**: 117 Å³ per cell

a b c (Å): 5.496 5.496 5.496
angles (deg): 60.00 60.00 60.00
Sites, in units of the cell vectors:
La: 0.000 0.000 0.000
Eu: 0.500 0.500 0.500
Ge: 0.750 0.750 0.750
Pb: 0.250 0.250 0.250

DFT (PBE) results for crystalline CaCuH at its relaxed geometry.

Results
**Fermi-level density of states**: 0.7 states/eV/f.u.
**Final energy**: -3.406 eV per atom
**Space group**: P2_1/m, No. 11
**Volume**: 99 Å³ per cell

a b c (Å): 4.186 4.166 6.072
angles (deg): 90.00 110.02 90.00
Sites, in units of the cell vectors:
Ca: 0.119 0.250 0.280
Ca: 0.881 0.750 0.720
Cu: 0.422 0.250 0.881
Cu: 0.578 0.750 0.119
H: 0.066 0.250 0.645
H: 0.934 0.750 0.355

DFT (PBE) results for crystalline La4Nd2Fe at its relaxed geometry.

Results
**Fermi-level density of states**: 13.1 states/eV/f.u.
**ΔE_f**: 0.26 eV/atom
**Space group**: I4/mmm, No. 139
**Volume**: 242 Å³ per cell

a b c (Å): 9.973 9.973 9.973
angles (deg): 150.36 150.36 42.41
Sites, in units of the cell vectors:
La: 0.000 0.500 0.500
La: 0.154 0.154 0.000
La: 0.500 0.000 0.500
La: 0.846 0.846 0.000
Nd: 0.326 0.326 0.000
Nd: 0.674 0.674 0.000
Fe: 0.000 0.000 0.000

DFT (PBE) results for crystalline YGeH2Se at its relaxed geometry.

Results
**Fermi-level density of states**: 2.9 states/eV/f.u.
**Space group**: P4/mmm, No. 123
**Volume**: 95 Å³ per cell
**Polymorph energy (0 for the lowest one)**: 2.42 eV per formula unit

a b c (Å): 3.954 3.954 6.090
angles (deg): 90.00 90.00 90.00
Sites, in units of the cell vectors:
Y: 0.000 0.000 0.000
Ge: 0.500 0.500 0.000
H: 0.000 0.500 0.500
H: 0.500 0.000 0.500
Se: 0.000 0.000 0.500

DFT (PBE) results for crystalline AcTaAs at its relaxed geometry.

Results
**Fermi-level density of states**: 4.1 states/eV/f.u.
**ΔE_f**: -0.12 eV/atom
**Space group**: P-6m2, No. 187
**Volume**: 80 Å³ per cell

a b c (Å): 4.476 4.476 4.612
angles (deg): 90.00 90.00 120.00
Sites, in units of the cell vectors:
Ac: 0.000 0.000 0.000
Ta: 0.667 0.333 0.500
As: 0.333 0.667 0.500

DFT (PBE) results for crystalline GaPH3 at its relaxed geometry.

Results
**Fermi-level density of states**: 2.2 states/eV/f.u.
**Space group**: Pm-3m, No. 221
**Volume**: 47 Å³ per cell
**Polymorph energy (0 for the lowest one)**: 1.98 eV per formula unit

a b c (Å): 3.609 3.609 3.609
angles (deg): 90.00 90.00 90.00
Sites, in units of the cell vectors:
Ga: 0.000 0.000 0.000
P: 0.500 0.500 0.500
H: 0.000 0.000 0.500
H: 0.000 0.500 0.000
H: 0.500 0.000 0.000